(1)
DFT (GGA-PBE) results for a relaxed Tm8Pb3CS3 crystal.

Cell: 7.523 7.543 8.819 Å, 115.49 90.00 119.91°
Sites, in units of the cell vectors:
C 0.000 0.000 0.500
S 0.000 0.500 0.500
S 0.500 0.500 0.500
S 0.500 0.000 0.500
Tm 0.244 0.030 0.316
Tm 0.267 0.535 0.303
Tm 0.733 0.465 0.697
Tm 0.785 0.571 0.315
Tm 0.215 0.429 0.685
Tm 0.756 0.970 0.684
Tm 0.785 0.030 0.316
Tm 0.215 0.970 0.684
Pb 0.500 0.500 0.000
Pb 0.000 0.000 0.000
Pb 0.000 0.500 0.000

Output
Uncorrected formation energy in eV per atom: -0.996
Uncorrected energy in eV per atom: -5.563
Symmetry: C2/m

(2)
DFT (GGA-PBE) results for a relaxed Tm5Pb2CS crystal.

Cell: 3.743 8.788 13.953 Å, 90.00 90.00 102.29°
Sites, in units of the cell vectors:
Tm 0.723 0.446 0.131
Tm 0.678 0.357 0.904
Tm 0.322 0.643 0.404
Tm 0.484 0.967 0.777
Tm 0.516 0.033 0.277
Tm 0.930 0.861 0.572
Tm 0.653 0.306 0.488
Tm 0.347 0.694 0.988
Tm 0.277 0.554 0.631
Tm 0.070 0.139 0.072
S 0.517 0.035 0.954
S 0.483 0.965 0.454
C 0.204 0.408 0.015
C 0.796 0.592 0.515
Pb 0.106 0.212 0.684
Pb 0.894 0.788 0.184
Pb 0.160 0.320 0.299
Pb 0.840 0.680 0.799

Output
Uncorrected formation energy in eV per atom: -0.720
Uncorrected energy in eV per atom: -5.512
Symmetry: Cmc2_1

(3)
DFT (GGA-PBE) results for a relaxed Tm4Pb2CS crystal.

Cell: 3.668 6.502 8.053 Å, 104.73 90.00 90.00°
Sites, in units of the cell vectors:
Tm 0.000 0.299 0.827
Tm 0.500 0.252 0.184
Tm 0.000 0.701 0.173
Tm 0.500 0.748 0.816
Pb 0.500 0.000 0.500
Pb 0.000 0.500 0.500
S 0.000 0.000 0.000
C 0.500 0.500 0.000

Output
Uncorrected formation energy in eV per atom: -0.886
Uncorrected energy in eV per atom: -5.717
Symmetry: P2/m

(4)
DFT (GGA-PBE) results for a relaxed SbPbC2 crystal.

Cell: 5.445 5.445 6.398 Å, 64.82 64.82 90.00°
Sites, in units of the cell vectors:
Sb 0.500 0.500 0.000
Sb 0.250 0.750 0.500
Pb 0.000 0.000 0.000
Pb 0.750 0.250 0.500
C 0.375 0.416 0.750
C 0.166 0.625 0.250
C 0.584 0.125 0.250
C 0.875 0.834 0.750

Output
Uncorrected formation energy in eV per atom: 1.423
Uncorrected energy in eV per atom: -5.147
Symmetry: I-42d

(5)
DFT (GGA-PBE) results for a relaxed SbPbC3 crystal.

Cell: 4.482 4.482 4.482 Å, 90.00 90.00 90.00°
Sites, in units of the cell vectors:
C 0.000 0.500 0.000
C 0.500 0.000 0.000
C 0.000 0.000 0.500
Pb 0.000 0.000 0.000
Sb 0.500 0.500 0.500

Output
Uncorrected formation energy in eV per atom: 3.185
Uncorrected energy in eV per atom: -3.916
Symmetry: Pm-3m

(6)
DFT (GGA-PBE) results for a relaxed SbPb2C crystal.

Cell: 6.445 6.445 7.206 Å, 63.44 63.44 90.00°
Sites, in units of the cell vectors:
Pb 0.542 0.125 0.250
Pb 0.875 0.792 0.750
Pb 0.375 0.458 0.750
Pb 0.208 0.625 0.250
C 0.500 0.500 0.000
C 0.250 0.750 0.500
Sb 0.000 0.000 0.000
Sb 0.750 0.250 0.500

Output
Uncorrected formation energy in eV per atom: 0.956
Uncorrected energy in eV per atom: -4.235
Symmetry: I-42d